A plane-wave DFT calculation with PBE was carried out for a relaxed structure of TaBAsIr2.

Summary:
Space group: P4/mmm, No. 123

a = 4.8262 Å, b = 4.9376 Å, c = 4.8262 Å
α = 90.00°, β = 90.00°, γ = 90.00°
Closest atoms and distances in Å follow each position.
Element x y z (fractional)
As  0.0000  0.5000  0.0000  2 Ta 2.47
Ir  0.0000  0.0000  0.5000  2 Ta 2.41
Ir  0.5000  0.0000  0.0000  2 Ta 2.41
B  0.5000  0.5000  0.5000  4 As 3.41, 8 Ir 3.45
Ta  0.0000  0.0000  0.0000  4 Ir 2.41, 2 As 2.47


A plane-wave DFT calculation with PBE was carried out for a relaxed structure of Ta2BAsIr.

Summary:
Space group: P4/mmm, No. 123

a = 4.3704 Å, b = 4.1015 Å, c = 4.3704 Å
α = 90.00°, β = 90.00°, γ = 90.00°
Closest atoms and distances in Å follow each position.
Element x y z (fractional)
As  0.0000  0.5000  0.0000  2 B 2.05
Ir  0.5000  0.5000  0.5000  8 Ta 3.00, 4 As 3.09
B  0.0000  0.0000  0.0000  2 As 2.05, 4 Ta 2.19
Ta  0.0000  0.0000  0.5000  2 B 2.19
Ta  0.5000  0.0000  0.0000  2 B 2.19


A plane-wave DFT calculation with PBE was carried out for a relaxed structure of TcBAsIr2.

Summary:
Space group: P4/mmm, No. 123

a = 4.0123 Å, b = 4.5452 Å, c = 4.0123 Å
α = 90.00°, β = 90.00°, γ = 90.00°
Closest atoms and distances in Å follow each position.
Element x y z (fractional)
As  0.0000  0.5000  0.0000  2 B 2.27
Ir  0.0000  0.0000  0.5000  2 B 2.01
Ir  0.5000  0.0000  0.0000  2 B 2.01
Tc  0.5000  0.5000  0.5000  4 As 2.84, 8 Ir 3.03
B  0.0000  0.0000  0.0000  4 Ir 2.01


A plane-wave DFT calculation with PBE was carried out for a relaxed structure of Th2BAsIr6.

Summary:
Space group: P4/mmm, No. 123

a = 4.5446 Å, b = 4.5446 Å, c = 8.8556 Å
α = 90.00°, β = 90.00°, γ = 90.00°
Closest atoms and distances in Å follow each position.
Element x y z (fractional)
Th  0.0000  0.0000  0.7432  12 Ir 3.13-3.22
Th  0.0000  0.0000  0.2568  12 Ir 3.13-3.22
B  0.5000  0.5000  0.5000  2 Ir 1.99
As  0.5000  0.5000  0.0000  6 Ir 2.27-2.44
Ir  0.5000  0.0000  0.0000  2 As 2.27
Ir  0.5000  0.0000  0.5000  2 B 2.27
Ir  0.0000  0.5000  0.0000  2 As 2.27
Ir  0.0000  0.5000  0.5000  2 B 2.27
Ir  0.5000  0.5000  0.7243  1 B 1.99
Ir  0.5000  0.5000  0.2757  1 B 1.99


A plane-wave DFT calculation with PBE was carried out for a relaxed structure of ZnBAsIr2.

Summary:
Space group: P4/mmm, No. 123

a = 4.5738 Å, b = 4.7288 Å, c = 4.5738 Å
α = 90.00°, β = 90.00°, γ = 90.00°
Closest atoms and distances in Å follow each position.
Element x y z (fractional)
As  0.0000  0.0000  0.0000  4 Ir 2.29, 2 Zn 2.36
Ir  0.0000  0.0000  0.5000  2 As 2.29
Ir  0.5000  0.0000  0.0000  2 As 2.29
Zn  0.0000  0.5000  0.0000  2 As 2.36
B  0.5000  0.5000  0.5000  4 Zn 3.23, 8 Ir 3.29


A plane-wave DFT calculation with PBE was carried out for a relaxed structure of KBAs.

Summary:
Space group: Amm2, No. 38
Relative energy among the computed polymorphs in eV/atom: 0.025

a = 4.9389 Å, b = 4.8651 Å, c = 14.1842 Å
α = 90.00°, β = 90.00°, γ = 90.00°
Closest atoms and distances in Å follow each position.
Element x y z (fractional)
As  0.0000  0.0000  0.4843  2 B 2.02
As  0.0000  0.5000  0.9843  2 B 2.02
As  0.5000  0.0000  0.6930  2 B 1.99
As  0.5000  0.5000  0.1930  2 B 1.99
B  0.8357  0.0000  0.6149  1 B 1.62
B  0.1643  0.0000  0.6149  1 B 1.62
B  0.8357  0.5000  0.1149  1 B 1.62
B  0.1643  0.5000  0.1149  1 B 1.62
K  0.0000  0.0000  0.2493  4 B 3.20, 5 As 3.33-3.56
K  0.0000  0.5000  0.7493  4 B 3.20, 5 As 3.33-3.56
K  0.5000  0.0000  0.9973  4 B 3.38, 6 As 3.47-3.69
K  0.5000  0.5000  0.4973  4 B 3.38, 6 As 3.47-3.69


A plane-wave DFT calculation with PBE was carried out for a relaxed structure of KBAs2.

Summary:
Space group: I-42d, No. 122

a = 5.6295 Å, b = 5.6295 Å, c = 7.3672 Å
α = 67.54°, β = 67.54°, γ = 90.00°
Closest atoms and distances in Å follow each position.
Element x y z (fractional)
As  0.4463  0.1250  0.2500  2 B 2.13
As  0.3037  0.6250  0.2500  2 B 2.13
As  0.3750  0.5537  0.7500  2 B 2.13
As  0.8750  0.6963  0.7500  2 B 2.13
B  0.5000  0.5000  0.0000  4 As 2.13
B  0.2500  0.7500  0.5000  4 As 2.13
K  0.0000  0.0000  0.0000  4 As 3.19
K  0.7500  0.2500  0.5000  4 As 3.19


A plane-wave DFT calculation with PBE was carried out for a relaxed structure of KBAs.

Summary:
Space group: Imm2, No. 44
Relative energy among the computed polymorphs in eV/atom: 0.023

a = 9.0502 Å, b = 4.9560 Å, c = 7.4087 Å
α = 90.00°, β = 90.00°, γ = 90.00°
Closest atoms and distances in Å follow each position.
Element x y z (fractional)
As  0.0000  0.5000  0.1237  2 B 2.03
As  0.5000  0.0000  0.6237  2 B 2.03
As  0.0000  0.0000  0.7238  2 B 2.00
As  0.5000  0.5000  0.2238  2 B 2.00
B  0.0000  0.3369  0.8729  1 B 1.62
B  0.0000  0.6631  0.8729  1 B 1.62
B  0.5000  0.8369  0.3729  1 B 1.62
B  0.5000  0.1631  0.3729  1 B 1.62
K  0.2721  0.0000  0.0498  4 B 3.25-3.26, 5 As 3.45-3.54
K  0.7279  0.0000  0.0498  4 B 3.25-3.26, 5 As 3.45-3.54
K  0.7721  0.5000  0.5498  4 B 3.25-3.26, 5 As 3.45-3.54
K  0.2279  0.5000  0.5498  4 B 3.25-3.26, 5 As 3.45-3.54


A plane-wave DFT calculation with PBE was carried out for a relaxed structure of KBAs3.

Summary:
Space group: Pm-3m, No. 221
Relative energy among the computed polymorphs in eV/atom: 0.000

a = 4.6760 Å, b = 4.6760 Å, c = 4.6760 Å
α = 90.00°, β = 90.00°, γ = 90.00°
Closest atoms and distances in Å follow each position.
Element x y z (fractional)
As  0.0000  0.5000  0.0000  2 B 2.34
As  0.0000  0.0000  0.5000  2 B 2.34
As  0.5000  0.0000  0.0000  2 B 2.34
B  0.0000  0.0000  0.0000  6 As 2.34
K  0.5000  0.5000  0.5000  12 As 3.31


A plane-wave DFT calculation with PBE was carried out for a relaxed structure of KBAs.

Summary:
Space group: P-1, No. 2
Relative energy among the computed polymorphs in eV/atom: 0.179

a = 5.0607 Å, b = 5.0849 Å, c = 7.7032 Å
α = 83.43°, β = 83.31°, γ = 85.89°
Closest atoms and distances in Å follow each position.
Element x y z (fractional)
As  0.2696  0.2640  0.2918  1 B 1.81
As  0.7304  0.7360  0.7082  1 B 1.81
B  0.4284  0.4266  0.0886  1 B 1.60
B  0.5716  0.5734  0.9114  1 B 1.60
K  0.1967  0.2028  0.7514  2 B 3.20-3.32, 4 As 3.48-3.53
K  0.8033  0.7972  0.2486  2 B 3.20-3.32, 4 As 3.48-3.53


A plane-wave DFT calculation with PBE was carried out for a relaxed structure of K2BAs.

Summary:
Space group: I-42d, No. 122
Relative energy among the computed polymorphs in eV/atom: 0.224

a = 4.5079 Å, b = 4.5079 Å, c = 11.1990 Å
α = 78.39°, β = 78.39°, γ = 90.00°
Closest atoms and distances in Å follow each position.
Element x y z (fractional)
As  0.0000  0.0000  0.0000  4 K 3.15, 4 B 3.19
As  0.7500  0.2500  0.5000  4 K 3.15, 4 B 3.19
B  0.5000  0.5000  0.0000  4 K 3.09, 4 As 3.19
B  0.2500  0.7500  0.5000  4 K 3.09, 4 As 3.19
K  0.6060  0.1250  0.2500  4 K 3.07-3.31, 2 B 3.09, 2 As 3.15
K  0.1440  0.6250  0.2500  4 K 3.07-3.31, 2 B 3.09, 2 As 3.15
K  0.3750  0.3940  0.7500  4 K 3.07-3.31, 2 B 3.09, 2 As 3.15
K  0.8750  0.8560  0.7500  4 K 3.07-3.31, 2 B 3.09, 2 As 3.15


A plane-wave DFT calculation with PBE was carried out for a relaxed structure of K2BAs.

Summary:
Space group: Fm-3m, No. 225
Relative energy among the computed polymorphs in eV/atom: 0.000

a = 5.3974 Å, b = 5.3974 Å, c = 5.3974 Å
α = 60.00°, β = 60.00°, γ = 60.00°
Closest atoms and distances in Å follow each position.
Element x y z (fractional)
As  0.5000  0.5000  0.5000  8 K 3.31
B  0.0000  0.0000  0.0000  8 K 3.31
K  0.2500  0.2500  0.2500  4 As 3.31, 4 B 3.31
K  0.7500  0.7500  0.7500  4 As 3.31, 4 B 3.31


A plane-wave DFT calculation with PBE was carried out for a relaxed structure of K3BAs.

Summary:
Space group: Pm-3m, No. 221
Relative energy among the computed polymorphs in eV/atom: 0.000

a = 5.7873 Å, b = 5.7873 Å, c = 5.7873 Å
α = 90.00°, β = 90.00°, γ = 90.00°
Closest atoms and distances in Å follow each position.
Element x y z (fractional)
As  0.5000  0.5000  0.5000  12 K 4.09
B  0.0000  0.0000  0.0000  6 K 2.89
K  0.0000  0.5000  0.0000  2 B 2.89
K  0.0000  0.0000  0.5000  2 B 2.89
K  0.5000  0.0000  0.0000  2 B 2.89


A plane-wave DFT calculation with PBE was carried out for a relaxed structure of KB2As.

Summary:
Space group: I-42d, No. 122

a = 6.3067 Å, b = 6.3067 Å, c = 6.2328 Å
α = 59.61°, β = 59.61°, γ = 90.00°
Closest atoms and distances in Å follow each position.
Element x y z (fractional)
As  0.0000  0.0000  0.0000  4 B 2.05
As  0.7500  0.2500  0.5000  4 B 2.05
B  0.7589  0.1250  0.2500  2 As 2.05
B  0.9911  0.6250  0.2500  2 As 2.05
B  0.3750  0.2411  0.7500  2 As 2.05
B  0.8750  0.0089  0.7500  2 As 2.05
K  0.5000  0.5000  0.0000  4 B 3.09
K  0.2500  0.7500  0.5000  4 B 3.09


A plane-wave DFT calculation with PBE was carried out for a relaxed structure of KBAs3.

Summary:
Space group: Pm-3m, No. 221
Relative energy among the computed polymorphs in eV/atom: 1.837

a = 5.4716 Å, b = 5.4716 Å, c = 5.4716 Å
α = 90.00°, β = 90.00°, γ = 90.00°
Closest atoms and distances in Å follow each position.
Element x y z (fractional)
As  0.0000  0.5000  0.0000  2 K 2.74
As  0.0000  0.0000  0.5000  2 K 2.74
As  0.5000  0.0000  0.0000  2 K 2.74
B  0.5000  0.5000  0.5000  12 As 3.87
K  0.0000  0.0000  0.0000  6 As 2.74


A plane-wave DFT calculation with PBE was carried out for a relaxed structure of KBAs.

Summary:
Space group: Immm, No. 71
Relative energy among the computed polymorphs in eV/atom: 0.000

a = 9.6014 Å, b = 8.4969 Å, c = 3.4120 Å
α = 90.00°, β = 90.00°, γ = 90.00°
Closest atoms and distances in Å follow each position.
Element x y z (fractional)
As  0.0000  0.7702  0.5000  2 B 2.03
As  0.0000  0.2298  0.5000  2 B 2.03
As  0.5000  0.2702  0.0000  2 B 2.03
As  0.5000  0.7298  0.0000  2 B 2.03
B  0.0000  0.0998  0.0000  1 B 1.70
B  0.0000  0.9002  0.0000  1 B 1.70
B  0.5000  0.5998  0.5000  1 B 1.70
B  0.5000  0.4002  0.5000  1 B 1.70
K  0.7951  0.5000  0.0000  2 K 3.41, 4 B 3.41, 6 As 3.44-3.47
K  0.2049  0.5000  0.0000  2 K 3.41, 4 B 3.41, 6 As 3.44-3.47
K  0.2951  0.0000  0.5000  2 K 3.41, 4 B 3.41, 6 As 3.44-3.47
K  0.7049  0.0000  0.5000  2 K 3.41, 4 B 3.41, 6 As 3.44-3.47


A plane-wave DFT calculation with PBE was carried out for a relaxed structure of KBAs.

Summary:
Space group: Ima2, No. 46
Relative energy among the computed polymorphs in eV/atom: 0.315

a = 10.3538 Å, b = 8.3640 Å, c = 8.3640 Å
α = 71.83°, β = 51.76°, γ = 51.76°
Closest atoms and distances in Å follow each position.
Element x y z (fractional)
K  0.3308  0.9214  0.4214  2 K 3.16-3.24, 4 B 3.27-3.35, 3 As 3.34-3.45
K  0.6735  0.0786  0.5786  2 K 3.16-3.24, 4 B 3.27-3.35, 3 As 3.34-3.45
K  0.6430  0.5561  0.0561  2 K 3.16-3.24, 6 As 3.38-3.46
K  0.2552  0.4439  0.9439  2 K 3.16-3.24, 6 As 3.38-3.46
K  0.8612  0.2216  0.7216  2 B 3.09, 2 K 3.16, 5 As 3.30-3.45
K  0.8043  0.7784  0.2784  2 B 3.09, 2 K 3.16, 5 As 3.30-3.45
B  0.6524  0.5000  0.5000  2 As 1.93
B  0.6524  0.0000  0.0000  2 As 1.93
B  0.2309  0.9849  0.8704  1 B 1.69
B  0.0862  0.0151  0.1296  1 B 1.69
B  0.0862  0.6296  0.5151  1 B 1.69
B  0.2309  0.3704  0.4849  1 B 1.69
As  0.1628  0.7430  0.2430  2 B 2.01
As  0.1488  0.2570  0.7570  2 B 2.01
As  0.4908  0.6810  0.7399  2 B 1.93-2.13
As  0.9118  0.3190  0.2601  2 B 1.93-2.13
As  0.9118  0.7601  0.8189  2 B 1.93-2.13
As  0.4908  0.2399  0.1811  2 B 1.93-2.13


A plane-wave DFT calculation with PBE was carried out for a relaxed structure of K2BAs2.

Summary:
Space group: C2/m, No. 12

a = 6.6261 Å, b = 7.8431 Å, c = 8.4142 Å
α = 119.87°, β = 90.00°, γ = 114.99°
Closest atoms and distances in Å follow each position.
Element x y z (fractional)
K  0.6777  0.3554  0.6170  5 As 3.34-3.60, 1 B 3.60
K  0.3223  0.6446  0.3830  5 As 3.34-3.60, 1 B 3.60
K  0.0217  0.0433  0.7679  4 As 3.35-3.43
K  0.9783  0.9567  0.2321  4 As 3.35-3.43
B  0.3838  0.7677  0.8595  3 As 1.93-2.08
B  0.6162  0.2323  0.1405  3 As 1.93-2.08
As  0.2231  0.4461  0.6757  1 B 1.93
As  0.7769  0.5539  0.3243  1 B 1.93
As  0.4747  0.9495  0.1542  2 B 2.07-2.08
As  0.5253  0.0505  0.8458  2 B 2.07-2.08


A plane-wave DFT calculation with PBE was carried out for a relaxed structure of KBAs.

Summary:
Space group: Amm2, No. 38
Relative energy among the computed polymorphs in eV/atom: 0.055

a = 3.3982 Å, b = 5.2878 Å, c = 17.2914 Å
α = 90.00°, β = 90.00°, γ = 90.00°
Closest atoms and distances in Å follow each position.
Element x y z (fractional)
As  0.0000  0.0000  0.7777  2 B 2.04
As  0.0000  0.5000  0.2777  2 B 2.04
As  0.0000  0.0000  0.0087  2 B 2.05
As  0.0000  0.5000  0.5087  2 B 2.05
B  0.5000  0.0000  0.9421  1 B 1.71
B  0.5000  0.5000  0.4421  1 B 1.71
B  0.5000  0.0000  0.8435  1 B 1.71
B  0.5000  0.5000  0.3435  1 B 1.71
K  0.0000  0.0000  0.3860  8 B 3.23-3.29, 4 As 3.24-3.39, 2 K 3.40
K  0.0000  0.5000  0.8860  8 B 3.23-3.29, 4 As 3.24-3.39, 2 K 3.40
K  0.5000  0.0000  0.6109  6 As 3.35-3.61, 2 K 3.40
K  0.5000  0.5000  0.1109  6 As 3.35-3.61, 2 K 3.40


A plane-wave DFT calculation with PBE was carried out for a relaxed structure of K2NaBAs.

Summary:
Space group: P4/mmm, No. 123

a = 5.7353 Å, b = 5.1375 Å, c = 5.7353 Å
α = 90.00°, β = 90.00°, γ = 90.00°
Closest atoms and distances in Å follow each position.
Element x y z (fractional)
Na  0.0000  0.5000  0.0000  2 B 2.57
As  0.5000  0.5000  0.5000  8 K 3.85, 4 Na 4.06
B  0.0000  0.0000  0.0000  2 Na 2.57, 4 K 2.87
K  0.0000  0.0000  0.5000  2 B 2.87
K  0.5000  0.0000  0.0000  2 B 2.87


Respective magnetic moment values: 0.00 0.00 1.05 0.00 0.00 0.00 0.00 0.00 0.00 0.00 0.79 0.00 3.04 0.00 0.00 0.00 0.00 0.97 0.00 2.68 μB per formula unit.
Respective formation energy values: 2060 384 606 -246 1701 -131 230 -133 590 23 1133 909 861 1152 2427 -156 159 -95 -100 857 meV per atom.